Density functional theory data (SCAN) for Be2HgSe at its PBEsol-relaxed geometry.

Lattice parameters (Å, degrees): 6.2978 6.2978 6.2978 90.00 90.00 90.00
Fractional positions:
Be 0.2500 0.2500 0.2500
Be 0.2500 0.2500 0.7500
Be 0.2500 0.7500 0.2500
Be 0.2500 0.7500 0.7500
Be 0.7500 0.2500 0.2500
Be 0.7500 0.2500 0.7500
Be 0.7500 0.7500 0.2500
Be 0.7500 0.7500 0.7500
Hg 0.0000 0.0000 0.0000
Hg 0.0000 0.5000 0.5000
Hg 0.5000 0.0000 0.5000
Hg 0.5000 0.5000 0.0000
Se 0.0000 0.0000 0.5000
Se 0.0000 0.5000 0.0000
Se 0.5000 0.0000 0.0000
Se 0.5000 0.5000 0.5000

Summary:
Symmetry = Fm-3m (225)
Uncorrected formation energy = 0.7013 eV per atom
Density = 7.91 g cm⁻³